The following is a PBE calculation of Zr2TaTc after structural relaxation, from Alexandria.

Calculated values
Calculated total energy (eV/atom): -10.01
Density (kg/m³): 9896
N(E_F) (states/eV/f.u.): 4.23
E above lowest polymorph (meV per atom): 13
DFT formation energy (meV per atom): -179

POSCAR file:
```
Zr2TaTc
1.0
3.298 0.000 0.000
0.000 4.867 0.000
0.000 0.000 9.647
Zr Ta Tc
4 2 2
direct
0.000 0.000 0.000 Zr
0.000 0.500 0.227 Zr
0.500 0.000 0.727 Zr
0.500 0.500 0.500 Zr
0.000 0.500 0.774 Ta
0.500 0.000 0.274 Ta
0.000 0.000 0.489 Tc
0.500 0.500 0.989 Tc
```